Entry 1:
This record from the Alexandria database describes a relaxed structure of KPb2Br. The functional is PBE.

POSCAR file:
```
KPb2Br
1.0
3.628 0.000 0.000
0.000 3.628 0.000
0.000 0.000 10.422
K Br Pb
1 1 2
direct
0.500 0.500 0.750
0.500 0.500 0.250
0.000 0.000 0.034
0.000 0.000 0.466
```

Output
Space-group type: P4/mmm, No. 123
Raw total energy (eV for the cell shown): -10.30
Raw formation energy (eV/atom): -0.03
Distance to the lowest polymorph of the same formula (meV per atom): 548.6
Volume (Å³/cell): 137
D(E_F) (states/eV/cell): 2.93



Entry 2:
This record from the Alexandria database describes a relaxed structure of K2PbBr. The functional is PBE.

POSCAR file:
```
K2PbBr
1.0
-3.835 -4.483 -1.403
1.920 -5.752 0.024
-1.911 -3.816 4.308
K Br Pb
2 1 1
direct
0.000 0.000 0.000
0.250 0.250 0.250
0.500 0.500 0.500
0.750 0.750 0.750
```

Output
Space-group type: F-43m, No. 216
Raw total energy (eV for the cell shown): -8.69
Raw formation energy (eV/atom): -0.28
Distance to the lowest polymorph of the same formula (meV per atom): 532.2
Volume (Å³/cell): 158
D(E_F) (states/eV/cell): 4.99



no.,spin magnetization (μB/f.u.)
1,0.0
2,1.0